Computed, not measured: a relaxed Rb3Pr3VO8 crystal at the PBE with a Hubbard U level of DFT.

Lattice parameters (Å, degrees): 7.065 7.065 7.795 117.06 117.06 60.34
Atoms (fractional coordinates):
Rb1 0.000 0.000 0.000
Rb2 0.000 0.500 0.000
Rb3 0.500 0.000 0.000
Pr1 0.000 0.500 0.500
Pr2 0.500 0.000 0.500
Pr3 0.500 0.500 0.500
V1 0.000 0.000 0.500
O1 0.193 0.193 0.659
O2 0.200 0.763 0.664
O3 0.237 0.800 0.336
O4 0.271 0.271 0.317
O5 0.729 0.729 0.683
O6 0.763 0.200 0.664
O7 0.800 0.237 0.336
O8 0.807 0.807 0.341

Properties
Calculated volume ... 19.165 Å³ per atom
Crystal system ... monoclinic
VASP energy ... -0.4910 Ry per atom
Density of states at the Fermi level ... 0.00 states/eV/f.u.